1.
DFT (meta-GGA SCAN) results for a PBEsol-optimized structure of K2ZrAu.

abc: 7.428 7.428 7.428
angles: 90.00 90.00 90.00
Space group F-43m (No. 216)
Symmetry-distinct sites (fractional):
K 0.000 0.000 0.000
K 0.250 0.250 0.250
Zr 0.000 0.000 0.500
Au 0.250 0.250 0.750

Results
As for the offset from the most stable computed form: 512.0 meV/atom. As for the formation energy: 13.85 kcal/mol of atoms. As for the crystal system: cubic. The density of states at the Fermi level is 1.029 states/eV/atom.

***

2.
DFT (meta-GGA SCAN) results for a PBEsol-optimized structure of K2ZrAu.

abc: 3.188 6.216 5.260
angles: 90.00 92.30 90.00
Space group P2/m (No. 10)
Symmetry-distinct sites (fractional):
K 0.241 0.000 0.263
Zr 0.500 0.500 0.000
Au 0.000 0.500 0.500

Results
As for the offset from the most stable computed form: 339.4 meV/atom. As for the formation energy: 9.87 kcal/mol of atoms. As for the crystal system: monoclinic. The density of states at the Fermi level is 0.392 states/eV/atom.

***

3.
DFT (meta-GGA SCAN) results for a PBEsol-optimized structure of KZrAu2.

abc: 11.296 2.849 5.364
angles: 90.00 102.45 90.00
Space group Cm (No. 8)
Symmetry-distinct sites (fractional):
K 0.000 0.000 0.000
Zr 0.203 0.000 0.604
Au 0.255 0.500 0.132
Au 0.464 0.000 0.487

Results
As for the offset from the most stable computed form: 120.3 meV/atom. As for the formation energy: -4.86 kcal/mol of atoms. As for the crystal system: monoclinic. The density of states at the Fermi level is 0.566 states/eV/atom.

***

4.
DFT (meta-GGA SCAN) results for a PBEsol-optimized structure of K2ZrAu.

abc: 7.898 7.898 7.898
angles: 90.00 90.00 90.00
Space group Fm-3m (No. 225)
Symmetry-distinct sites (fractional):
K 0.250 0.250 0.250
Zr 0.000 0.000 0.000
Au 0.000 0.000 0.500

Results
As for the offset from the most stable computed form: 793.7 meV/atom. As for the formation energy: 20.34 kcal/mol of atoms. As for the crystal system: cubic. The density of states at the Fermi level is 0.731 states/eV/atom.

***

5.
DFT (meta-GGA SCAN) results for a PBEsol-optimized structure of KZrAu2.

abc: 5.403 5.403 2.877
angles: 90.00 90.00 90.00
Space group P4/mmm (No. 123)
Symmetry-distinct sites (fractional):
K 0.000 0.000 0.000
Zr 0.500 0.500 0.000
Au 0.000 0.500 0.500

Results
As for the offset from the most stable computed form: 0.0 meV/atom. As for the formation energy: -7.64 kcal/mol of atoms. As for the crystal system: tetragonal. The density of states at the Fermi level is 0.500 states/eV/atom.

***

6.
DFT (meta-GGA SCAN) results for a PBEsol-optimized structure of KZrAu2.

abc: 6.982 6.982 6.982
angles: 90.00 90.00 90.00
Space group Fm-3m (No. 225)
Symmetry-distinct sites (fractional):
K 0.000 0.000 0.000
Zr 0.000 0.000 0.500
Au 0.250 0.250 0.250

Results
As for the offset from the most stable computed form: 239.9 meV/atom. As for the formation energy: -2.10 kcal/mol of atoms. As for the crystal system: cubic. The density of states at the Fermi level is 0.700 states/eV/atom.

***

7.
DFT (meta-GGA SCAN) results for a PBEsol-optimized structure of La3Au.

abc: 3.720 5.637 11.054
angles: 90.00 90.00 90.00
Space group Immm (No. 71)
Symmetry-distinct sites (fractional):
La 0.000 0.000 0.000
La 0.000 0.500 0.225
Au 0.000 0.000 0.500

Results
As for the formation energy: -10.74 kcal/mol of atoms. As for the crystal system: orthorhombic. The density of states at the Fermi level is 1.030 states/eV/atom.

***

8.
DFT (meta-GGA SCAN) results for a PBEsol-optimized structure of LaAu13.

abc: 12.928 12.928 12.928
angles: 90.00 90.00 90.00
Space group Fm-3c (No. 226)
Symmetry-distinct sites (fractional):
La 0.250 0.250 0.250
Au 0.000 0.000 0.000
Au 0.000 0.120 0.181

Results
As for the formation energy: -4.42 kcal/mol of atoms. As for the crystal system: cubic. The density of states at the Fermi level is 0.344 states/eV/atom.